Below is a relaxed structure of SbS2Cl, with properties calculated at the GGA-PBE level.

Summary:
Electronic total energy   -27.244 eV/cell

Cell: 7.259 7.259 6.395 Å, 55.42 55.42 90.00°
Atoms (fractional coordinates):
Sb (0.750, 0.250, 0.500)
Sb (0.000, 0.000, 0.000)
Cl (0.500, 0.500, 0.000)
S (0.679, 0.125, 0.250)
S (0.071, 0.625, 0.250)
Cl (0.250, 0.750, 0.500)
S (0.875, 0.929, 0.750)
S (0.375, 0.321, 0.750)



Below is a relaxed structure of Ac2MnGe3, with properties calculated at the GGA-PBE level.

Summary:
DFT formation energy   -51.3 kJ/mol of atoms

Cell: 6.318 6.318 8.867 Å, 111.60 111.60 88.09°
Each line ends with the local moment (μB).
Atoms (fractional coordinates):
Ac (0.250, 0.750, 0.500)  -0.01
Ge (0.171, 0.171, 0.341)  -0.01
Ac (0.756, 0.756, 0.000)  0.01
Ge (0.349, 0.823, 0.172)  -0.04
Ge (0.651, 0.177, 0.828)  -0.04
Ge (0.177, 0.651, 0.828)  -0.04
Mn (0.668, 0.668, 0.335)  3.07
Ac (0.244, 0.244, 0.000)  0.01
Mn (0.332, 0.332, 0.665)  3.07
Ge (0.823, 0.349, 0.172)  -0.04
Ge (0.829, 0.829, 0.659)  -0.01
Ac (0.750, 0.250, 0.500)  -0.01



Below is a relaxed structure of Ac2PrSmY, with properties calculated at the GGA-PBE level.

Summary:
DFT formation energy   25.6 kJ/mol of atoms

Cell: 6.826 9.013 6.469 Å, 89.96 90.00 90.00°
Atoms (fractional coordinates):
Sm (0.000, 0.000, 0.500)
Ac (0.296, 0.299, 0.250)
Pr (0.419, 0.000, 0.750)
Y (0.827, 0.500, 0.250)
Ac (0.296, 0.701, 0.250)
Ac (0.704, 0.299, 0.750)
Pr (0.581, 0.000, 0.250)
Y (0.173, 0.500, 0.750)
Sm (0.000, 0.000, 0.000)
Ac (0.704, 0.701, 0.750)